Entry 1:
The following is a PBE calculation of an optimized crystal structure of Rb2SrNpO6, from Alexandria.

- M_tot (μB per formula unit) = 1.114
- space-group type = Fm-3m
- formation energy without anion corrections (eV/atom) = -2.301

Cell and atoms, written as CIF:
```
data_Rb2SrNpO6
_cell_length_a 6.3652
_cell_length_b 6.3664
_cell_length_c 6.3660
_cell_angle_alpha 60.00
_cell_angle_beta 59.99
_cell_angle_gamma 90.00
_symmetry_space_group_name_H-M 'P 1'
_symmetry_Int_Tables_number 1
_symmetry_space_group_name_Hall 'P 1'
loop_
_atom_site_label
_atom_site_type_symbol
_atom_site_fract_x
_atom_site_fract_y
_atom_site_fract_z
_atom_site_occupancy
Np1 Np 0.5000 0.5000 0.0000 1
Rb1 Rb 0.2498 0.7498 0.5002 1
Rb2 Rb 0.7502 0.2502 0.4998 1
O1 O 0.2770 0.2771 0.4459 1
O2 O 0.2771 0.2771 0.0000 1
O3 O 0.7230 0.7229 0.5541 1
O4 O 0.7229 0.7229 0.0000 1
O5 O 0.2769 0.7228 0.0001 1
Sr1 Sr 0.0000 0.0000 0.0000 1
O6 O 0.7231 0.2772 0.9999 1
```


Entry 2:
The following is a PBE calculation of an optimized crystal structure of K3Ga5Hg12, from Alexandria.

- M_tot (μB per formula unit) = 0.000
- space-group type = Ia-3d
- E_tot (eV per cell) = -87.52

Cell and atoms, written as CIF:
```
data_K3Ga5Hg12
_cell_length_a 15.4202
_cell_length_b 15.4202
_cell_length_c 15.4202
_cell_angle_alpha 109.47
_cell_angle_beta 109.47
_cell_angle_gamma 109.47
_symmetry_space_group_name_H-M 'P 1'
_symmetry_Int_Tables_number 1
_symmetry_space_group_name_Hall 'P 1'
loop_
_atom_site_label
_atom_site_type_symbol
_atom_site_fract_x
_atom_site_fract_y
_atom_site_fract_z
_atom_site_occupancy
K1 K 0.8750 0.7500 0.1250 1
Hg1 Hg 0.4358 0.4445 0.6282 1
Hg2 Hg 0.8076 0.8718 0.3163 1
Hg3 Hg 0.6924 0.5086 0.5642 1
Hg4 Hg 0.1924 0.1282 0.6837 1
Hg5 Hg 0.0555 0.3718 0.0642 1
Ga1 Ga 0.2500 0.3750 0.6250 1
Hg6 Hg 0.5642 0.5555 0.3718 1
K2 K 0.8750 0.1250 0.2500 1
Hg7 Hg 0.5555 0.9914 0.1837 1
Hg8 Hg 0.8718 0.0642 0.5555 1
Ga2 Ga 0.8750 0.2500 0.6250 1
Hg9 Hg 0.8076 0.9358 0.9914 1
Hg10 Hg 0.1282 0.9358 0.4445 1
Ga3 Ga 0.6250 0.7500 0.8750 1
K3 K 0.7500 0.8750 0.6250 1
Hg11 Hg 0.0642 0.8718 0.0555 1
Hg12 Hg 0.4445 0.4358 0.1282 1
Hg13 Hg 0.3076 0.4914 0.4358 1
Hg14 Hg 0.3163 0.3718 0.8076 1
K4 K 0.3750 0.7500 0.6250 1
K5 K 0.2500 0.1250 0.3750 1
Hg15 Hg 0.6837 0.0555 0.9914 1
Hg16 Hg 0.9445 0.3163 0.5086 1
Hg17 Hg 0.4445 0.0086 0.8163 1
Hg18 Hg 0.8163 0.3076 0.8718 1
Ga4 Ga 0.5000 0.5000 0.0000 1
Ga5 Ga 0.3750 0.2500 0.1250 1
Ga6 Ga 0.7500 0.1250 0.8750 1
K6 K 0.1250 0.2500 0.8750 1
Hg19 Hg 0.8163 0.5086 0.4445 1
Ga7 Ga 0.0000 0.5000 0.5000 1
Hg20 Hg 0.9358 0.1282 0.9445 1
Ga8 Ga 0.6250 0.8750 0.2500 1
K7 K 0.1250 0.8750 0.7500 1
Hg21 Hg 0.1924 0.0642 0.0086 1
K8 K 0.6250 0.3750 0.7500 1
Ga9 Ga 0.7500 0.6250 0.3750 1
Hg22 Hg 0.3718 0.3163 0.3076 1
Ga10 Ga 0.5000 0.0000 0.0000 1
Ga11 Ga 0.5000 0.5000 0.5000 1
Hg23 Hg 0.3718 0.0555 0.5642 1
Ga12 Ga 0.8750 0.6250 0.7500 1
Hg24 Hg 0.9445 0.6282 0.9358 1
K9 K 0.7500 0.3750 0.1250 1
Hg25 Hg 0.6282 0.9445 0.4358 1
Hg26 Hg 0.3076 0.8163 0.3718 1
Hg27 Hg 0.5086 0.6924 0.0642 1
Hg28 Hg 0.0086 0.4445 0.3163 1
Ga13 Ga 0.2500 0.8750 0.1250 1
Hg29 Hg 0.9914 0.5555 0.6837 1
Hg30 Hg 0.0642 0.1924 0.5086 1
K10 K 0.2500 0.6250 0.8750 1
Ga14 Ga 0.3750 0.1250 0.7500 1
Hg31 Hg 0.5555 0.5642 0.8718 1
Hg32 Hg 0.6924 0.1837 0.6282 1
Hg33 Hg 0.0555 0.6837 0.4914 1
Hg34 Hg 0.6282 0.6837 0.6924 1
Hg35 Hg 0.9358 0.8076 0.4914 1
Hg36 Hg 0.8718 0.8076 0.8163 1
Hg37 Hg 0.4914 0.3076 0.9358 1
Hg38 Hg 0.1837 0.4914 0.5555 1
Hg39 Hg 0.1837 0.6924 0.1282 1
K11 K 0.3750 0.6250 0.2500 1
Ga15 Ga 0.1250 0.3750 0.2500 1
Ga16 Ga 0.0000 0.0000 0.0000 1
Hg40 Hg 0.4914 0.1837 0.0555 1
Hg41 Hg 0.6837 0.6282 0.1924 1
Hg42 Hg 0.5086 0.8163 0.9445 1
Ga17 Ga 0.0000 0.0000 0.5000 1
Hg43 Hg 0.1282 0.1924 0.1837 1
K12 K 0.6250 0.2500 0.3750 1
Hg44 Hg 0.5642 0.0086 0.6924 1
Ga18 Ga 0.1250 0.7500 0.3750 1
Hg45 Hg 0.3163 0.9445 0.0086 1
Hg46 Hg 0.4358 0.9914 0.3076 1
Ga19 Ga 0.5000 0.0000 0.5000 1
Hg47 Hg 0.9914 0.4358 0.8076 1
Ga20 Ga 0.0000 0.5000 0.0000 1
Hg48 Hg 0.0086 0.5642 0.1924 1
```


Entry 3:
The following is a PBE calculation of an optimized crystal structure of YHgN2, from Alexandria.

- M_tot (μB per formula unit) = 0.000
- space-group type = R-3m
- formation energy without anion corrections (eV/atom) = 1.107

Cell and atoms, written as CIF:
```
data_YHgN2
_cell_length_a 6.8349
_cell_length_b 6.8349
_cell_length_c 6.8349
_cell_angle_alpha 30.57
_cell_angle_beta 30.57
_cell_angle_gamma 30.57
_symmetry_space_group_name_H-M 'P 1'
_symmetry_Int_Tables_number 1
_symmetry_space_group_name_Hall 'P 1'
loop_
_atom_site_label
_atom_site_type_symbol
_atom_site_fract_x
_atom_site_fract_y
_atom_site_fract_z
_atom_site_occupancy
Y1 Y 0.0000 0.0000 0.0000 1
N1 N 0.8867 0.8867 0.8867 1
N2 N 0.1133 0.1133 0.1133 1
Hg1 Hg 0.5000 0.5000 0.5000 1
```


Entry 4:
The following is a PBE calculation of an optimized crystal structure of NdGa2Ag6, from Alexandria.

- M_tot (μB per formula unit) = 0.000
- space-group type = P4/mmm
- distance to the lowest polymorph of the same formula (eV/f.u.) = 0.00

Cell and atoms, written as CIF:
```
data_NdGa2Ag6
_cell_length_a 4.2912
_cell_length_b 4.2912
_cell_length_c 9.5409
_cell_angle_alpha 90.00
_cell_angle_beta 90.00
_cell_angle_gamma 90.00
_symmetry_space_group_name_H-M 'P 1'
_symmetry_Int_Tables_number 1
_symmetry_space_group_name_Hall 'P 1'
loop_
_atom_site_label
_atom_site_type_symbol
_atom_site_fract_x
_atom_site_fract_y
_atom_site_fract_z
_atom_site_occupancy
Ag1 Ag 0.0000 0.0000 0.5000 1
Ag2 Ag 0.0000 0.5000 0.7098 1
Ag3 Ag 0.5000 0.0000 0.2902 1
Ga1 Ga 0.5000 0.5000 0.8718 1
Nd1 Nd 0.0000 0.0000 0.0000 1
Ag4 Ag 0.0000 0.5000 0.2902 1
Ag5 Ag 0.5000 0.0000 0.7098 1
Ag6 Ag 0.5000 0.5000 0.5000 1
Ga2 Ga 0.5000 0.5000 0.1282 1
```